Record 1
{
  "formula": "RbLaIBr2",
  "functional": "GGA-PBE",
  "state": "relaxed",
  "lattice_angstrom": [[5.9111, 0.0000, 0.0000], [0.0000, 5.9111, 0.0000], [0.0000, 0.0000, 6.3578]],
  "species": ["Rb", "La", "I", "Br", "Br"],
  "frac_coords": [[0.0000, 0.0000, 0.0000], [0.5000, 0.5000, 0.5000], [0.5000, 0.5000, 0.0000], [0.0000, 0.5000, 0.5000], [0.5000, 0.0000, 0.5000]],
  "total_magnetization_mub_per_cell": 0.5
}

Record 2
{
  "formula": "Rb2LaIBr6",
  "functional": "GGA-PBE",
  "state": "relaxed",
  "lattice_angstrom": [[-4.6827, 4.6827, 5.6588], [4.6827, -4.6827, 5.6588], [4.6827, 4.6827, -5.6588]],
  "species": ["Rb", "Rb", "La", "I", "Br", "Br", "Br", "Br", "Br", "Br"],
  "frac_coords": [[0.2500, 0.7500, 0.5000], [0.7500, 0.2500, 0.5000], [0.0000, 0.0000, 0.0000], [0.5000, 0.5000, 0.0000], [0.2184, 0.2184, 0.4368], [0.2184, 0.7816, 0.0000], [0.2631, 0.2631, 0.0000], [0.7369, 0.7369, 0.0000], [0.7816, 0.2184, 0.0000], [0.7816, 0.7816, 0.5632]],
  "total_magnetization_mub_per_cell": 0.0
}

Record 3
{
  "formula": "La8Rh3I4Br",
  "functional": "GGA-PBE",
  "state": "relaxed",
  "lattice_angstrom": [[4.3111, 2.4890, 8.1316], [-4.3111, 2.4890, 8.1316], [0.0000, -4.9781, 8.1316]],
  "species": ["La", "La", "La", "La", "La", "La", "La", "La", "Rh", "Rh", "Rh", "I", "I", "I", "I", "Br"],
  "frac_coords": [[0.2086, 0.7439, 0.7439], [0.2287, 0.2287, 0.2287], [0.2561, 0.2561, 0.7914], [0.2561, 0.7914, 0.2561], [0.7439, 0.2086, 0.7439], [0.7439, 0.7439, 0.2086], [0.7713, 0.7713, 0.7713], [0.7914, 0.2561, 0.2561], [0.0000, 0.0000, 0.5000], [0.0000, 0.5000, 0.0000], [0.5000, 0.0000, 0.0000], [0.0000, 0.0000, 0.0000], [0.0000, 0.5000, 0.5000], [0.5000, 0.0000, 0.5000], [0.5000, 0.5000, 0.0000], [0.5000, 0.5000, 0.5000]],
  "total_magnetization_mub_per_cell": 0.0
}

Record 4
{
  "formula": "La6Rh2I3Br",
  "functional": "GGA-PBE",
  "state": "relaxed",
  "lattice_angstrom": [[3.7785, -6.5315, 0.0000], [3.7785, 6.5315, 0.0000], [-2.5139, 0.0000, 8.0666]],
  "species": ["La", "La", "La", "La", "La", "La", "Rh", "Rh", "I", "I", "I", "Br"],
  "frac_coords": [[0.0687, 0.4329, 0.8039], [0.2000, 0.2000, 0.1932], [0.4329, 0.0687, 0.8039], [0.5671, 0.9313, 0.1961], [0.8000, 0.8000, 0.8068], [0.9313, 0.5671, 0.1961], [0.1676, 0.8324, 0.0000], [0.8324, 0.1676, 0.0000], [0.0000, 0.0000, 0.5000], [0.3416, 0.6584, 0.5000], [0.6584, 0.3416, 0.5000], [0.5000, 0.5000, 0.0000]],
  "total_magnetization_mub_per_cell": 0.0
}

no.,formation energy from raw total energies (meV/atom),ρ (Mg/m³),DFT total energy (hartree per atom)
1,-1527,3.82,-0.135
2,-1370,3.07,-0.118
3,-1040,6.37,-0.197
4,-1071,6.26,-0.194